1.
Compound: TcAg2Ru
Source: the Alexandria database
Functional: SCAN
Structure: single point on PBEsol structure

Values from the calculation:
The density of states at the Fermi level comes out at 2.23 states/eV per cell. For the total magnetization, the calculation gives 0.00 μB per cell. The energy above the most stable polymorph in this dataset comes out at 0 meV/atom. The symmetry is No. 160.

```
4
Lattice="2.742 0.000 0.000 1.371 2.374 0.000 1.371 0.791 9.255" Properties=species:S:1:pos:R:3 pbc="T T T"
Ru 2.742 1.583 4.465
Ag 4.113 2.374 6.882
Tc 1.371 0.791 2.487
Ag 4.113 2.374 0.048
```


2.
Compound: LaNiC2
Source: the Alexandria database
Functional: SCAN
Structure: single point on PBEsol structure

Values from the calculation:
The total energy is -74.697 eV per cell. The density of states at the Fermi level comes out at 1.95 states/eV per cell. For the total magnetization, the calculation gives 0.90 μB per cell. The symmetry is No. 225.

```
4
Lattice="4.143 0.000 0.000 2.072 3.588 0.000 2.072 1.196 3.383" Properties=species:S:1:pos:R:3 pbc="T T T"
La 4.143 2.392 1.692
Ni 0.000 0.000 0.000
C 6.215 3.588 2.537
C 2.072 1.196 0.846
```


3.
Compound: Te2WCl6
Source: the Alexandria database
Functional: SCAN
Structure: single point on PBEsol structure

Values from the calculation:
The total energy is -793.411 eV per cell. The density of states at the Fermi level comes out at 11.33 states/eV per cell. For the total magnetization, the calculation gives 3.64 μB per cell. The symmetry is No. 14.

```
36
Lattice="-3.045 -1.783 5.346 11.845 1.776 5.426 -2.944 12.260 2.413" Properties=species:S:1:pos:R:3 pbc="T T T"
Te 5.148 6.023 5.407
Cl 0.100 2.093 4.936
W -0.295 10.276 7.085
Cl -1.709 4.681 5.816
Cl 2.272 -0.512 6.365
Cl -2.520 10.592 6.336
W 6.151 1.977 6.100
Te 3.616 8.265 5.153
Te -3.038 10.424 3.040
Cl 7.565 7.572 7.369
Cl 0.383 11.929 5.688
Cl 5.756 10.160 8.249
W -0.498 4.117 3.983
Cl -0.952 6.103 2.971
Te 5.540 11.661 11.385
Cl 5.882 3.565 7.764
Cl 4.437 7.170 8.201
Cl -1.154 8.538 8.442
Cl 8.376 1.661 6.849
Cl 9.591 4.866 8.360
Cl -0.026 8.688 5.421
W 6.354 8.136 9.202
Te 0.316 0.592 1.800
Te 8.894 1.829 10.145
Cl 1.419 5.083 4.984
Cl 5.473 0.324 7.496
Te 2.240 3.988 8.032
Cl 3.584 12.764 6.820
Cl 1.816 9.822 7.843
Cl 4.942 8.705 11.013
Cl 4.041 2.431 5.342
Te 0.708 6.230 7.778
Cl 6.808 6.150 10.214
Cl -3.735 7.386 4.825
Cl 7.010 3.715 4.743
Cl 0.915 3.548 2.172
```


4.
Compound: BaLiAg2
Source: the Alexandria database
Functional: SCAN
Structure: single point on PBEsol structure

Values from the calculation:
The density of states at the Fermi level comes out at 2.09 states/eV per cell. For the total magnetization, the calculation gives 0.00 μB per cell. The energy above the most stable polymorph in this dataset comes out at 265 meV/atom. The symmetry is No. 216.

```
4
Lattice="5.180 0.000 0.000 2.590 4.486 0.000 2.590 1.495 4.230" Properties=species:S:1:pos:R:3 pbc="T T T"
Ag 7.771 4.486 3.172
Li 2.590 1.495 1.057
Ag 0.000 0.000 0.000
Ba 5.180 2.991 2.115
```


5.
Compound: Sc3Se
Source: the Alexandria database
Functional: SCAN
Structure: single point on PBEsol structure

Values from the calculation:
The density of states at the Fermi level comes out at 4.30 states/eV per cell. For the total magnetization, the calculation gives 1.56 μB per cell. The energy above the most stable polymorph in this dataset comes out at 63 meV/atom. The symmetry is No. 166.

```
4
Lattice="3.481 0.000 0.000 1.740 3.015 0.000 1.740 1.005 8.604" Properties=species:S:1:pos:R:3 pbc="T T T"
Se 0.000 0.000 0.000
Sc 5.221 3.015 6.868
Sc 1.740 1.005 1.736
Sc 3.481 2.010 4.302
```


6.
Compound: Hf2FeH2
Source: the Alexandria database
Functional: SCAN
Structure: single point on PBEsol structure

Values from the calculation:
The total energy is -152.609 eV per cell. The density of states at the Fermi level comes out at 0.91 states/eV per cell. For the total magnetization, the calculation gives 0.00 μB per cell. The symmetry is No. 139.

```
5
Lattice="3.059 0.000 0.000 0.000 3.059 0.000 -1.530 -1.530 5.906" Properties=species:S:1:pos:R:3 pbc="T T T"
H 1.530 0.000 2.953
Hf 0.000 0.000 4.328
Fe 0.000 0.000 0.000
Hf 1.530 1.530 1.578
H 0.000 1.530 2.953
```


7.
Compound: LiCd2In
Source: the Alexandria database
Functional: SCAN
Structure: single point on PBEsol structure

Values from the calculation:
The total energy is -97.251 eV per cell. The density of states at the Fermi level comes out at 1.35 states/eV per cell. For the total magnetization, the calculation gives 0.00 μB per cell. The symmetry is No. 25.

```
4
Lattice="-2.628 1.221 1.107 -0.973 -3.764 1.842 2.932 1.720 5.061" Properties=species:S:1:pos:R:3 pbc="T T T"
Cd -1.089 -0.855 2.703
Cd 2.911 1.707 5.025
Li 0.411 0.025 5.291
In 1.497 0.878 2.585
```


8.
Compound: Li2ZnGe3
Source: the Alexandria database
Functional: SCAN
Structure: single point on PBEsol structure

Values from the calculation:
The total energy is -76.900 eV per cell. The density of states at the Fermi level comes out at 0.90 states/eV per cell. For the total magnetization, the calculation gives 0.00 μB per cell. The symmetry is No. 156.

```
6
Lattice="-3.167 2.694 0.147 -0.469 -3.846 1.517 2.087 2.124 6.030" Properties=species:S:1:pos:R:3 pbc="T T T"
Ge -0.238 -0.515 4.326
Li -1.660 1.133 2.359
Ge 0.568 0.304 6.653
Zn 0.953 0.970 2.754
Ge 0.145 0.148 0.420
Li -0.779 2.029 4.905
```


9.
Compound: Tl2TePbS
Source: the Alexandria database
Functional: SCAN
Structure: single point on PBEsol structure

Values from the calculation:
The total energy is -264.669 eV per cell. The density of states at the Fermi level comes out at 3.74 states/eV per cell. For the total magnetization, the calculation gives 1.04 μB per cell. The symmetry is No. 123.

```
5
Lattice="5.630 0.000 0.000 0.000 5.894 0.000 0.000 0.000 5.894" Properties=species:S:1:pos:R:3 pbc="T T T"
S 2.815 2.947 2.947
Tl 0.000 0.000 2.947
Pb 0.000 0.000 0.000
Tl 0.000 2.947 0.000
Te 2.815 0.000 0.000
```


10.
Compound: Ba2CrCo
Source: the Alexandria database
Functional: SCAN
Structure: single point on PBEsol structure

Values from the calculation:
The total energy is -112.002 eV per cell. The density of states at the Fermi level comes out at 3.16 states/eV per cell. For the total magnetization, the calculation gives 7.11 μB per cell. The symmetry is No. 216.

```
4
Lattice="5.278 0.000 0.000 2.639 4.571 0.000 2.639 1.524 4.309" Properties=species:S:1:pos:R:3 pbc="T T T"
Ba 7.917 4.571 3.232
Ba 0.000 0.000 0.000
Cr 2.639 1.524 1.077
Co 5.278 3.047 2.155
```


11.
Compound: AsBrCl
Source: the Alexandria database
Functional: SCAN
Structure: single point on PBEsol structure

Values from the calculation:
The density of states at the Fermi level comes out at 1.23 states/eV per cell. For the total magnetization, the calculation gives 0.00 μB per cell. The energy above the most stable polymorph in this dataset comes out at 247 meV/atom. The symmetry is No. 107.

```
3
Lattice="-0.937 -2.760 -1.427 3.107 -0.814 -0.467 -1.008 -1.145 6.567" Properties=species:S:1:pos:R:3 pbc="T T T"
As 1.161 -4.713 4.661
Br 1.105 -2.575 0.563
Cl 0.056 -2.150 4.122
```


12.
Compound: TlAg2W
Source: the Alexandria database
Functional: SCAN
Structure: single point on PBEsol structure

Values from the calculation:
The density of states at the Fermi level comes out at 1.79 states/eV per cell. For the total magnetization, the calculation gives 2.29 μB per cell. The energy above the most stable polymorph in this dataset comes out at 227 meV/atom. The symmetry is No. 119.

```
4
Lattice="4.376 0.000 0.000 -2.188 4.330 0.001 0.000 2.210 3.777" Properties=species:S:1:pos:R:3 pbc="T T T"
Ag 0.000 2.717 0.945
W 2.188 3.822 2.833
Tl 2.188 1.105 1.888
Ag 0.000 0.000 0.000
```